Here is an optimized crystal structure of NiPt from Alexandria via LeMat-Bulk. Energies are from PBEsol.

Calculated values
Calculated formation energy: -46 meV per atom
Symmetry: Cm
Density of states at the Fermi level: 9.64 states/eV/cell

Lattice parameters (Å, degrees): 4.5590 4.5590 7.2735 113.23 113.23 34.15
Positions (direct):
Ni (0.0000, 0.0000, 0.0000)
Ni (0.0058, 0.0058, 0.4935)
Ni (0.6591, 0.6591, 0.3210)
Pt (0.3305, 0.3305, 0.6443)
Pt (0.3385, 0.3385, 0.1771)
Pt (0.6641, 0.6641, 0.8299)

=====

Here is an optimized crystal structure of NiPt from Alexandria via LeMat-Bulk. Energies are from PBEsol.

Calculated values
Calculated formation energy: 3 meV per atom
Symmetry: Cmmm
Density of states at the Fermi level: 13.59 states/eV/cell

Lattice parameters (Å, degrees): 6.4324 6.4324 2.6762 90.00 90.00 110.28
Positions (direct):
Ni (0.1176, 0.8824, 0.0000)
Ni (0.2355, 0.2355, 0.5000)
Ni (0.7645, 0.7645, 0.5000)
Ni (0.8824, 0.1176, 0.0000)
Pt (0.0000, 0.5000, 0.5000)
Pt (0.3783, 0.6217, 0.0000)
Pt (0.5000, 0.0000, 0.5000)
Pt (0.6217, 0.3783, 0.0000)

=====

Here is an optimized crystal structure of Ni7Pt5 from Alexandria via LeMat-Bulk. Energies are from PBEsol.

Calculated values
Calculated formation energy: -34 meV per atom
Symmetry: C222
Density of states at the Fermi level: 18.90 states/eV/cell

Lattice parameters (Å, degrees): 4.5172 4.5172 7.8764 90.00 90.00 110.26
Positions (direct):
Ni (0.0000, 0.0000, 0.0000)
Ni (0.0000, 0.0000, 0.3398)
Ni (0.0000, 0.0000, 0.6602)
Ni (0.0000, 0.5000, 0.5028)
Ni (0.0000, 0.5000, 0.8292)
Ni (0.5000, 0.0000, 0.1708)
Ni (0.5000, 0.0000, 0.4972)
Pt (0.0000, 0.5000, 0.1697)
Pt (0.5000, 0.0000, 0.8303)
Pt (0.5000, 0.5000, 0.0000)
Pt (0.5000, 0.5000, 0.3376)
Pt (0.5000, 0.5000, 0.6624)

=====

Here is an optimized crystal structure of NiPt5 from Alexandria via LeMat-Bulk. Energies are from PBEsol.

Calculated values
Calculated formation energy: 46 meV per atom
Symmetry: P-62m
Density of states at the Fermi level: 12.07 states/eV/cell

Lattice parameters (Å, degrees): 4.6935 4.6935 4.5446 90.00 90.00 120.00
Positions (direct):
Ni (0.0000, 0.0000, 0.0000)
Pt (0.0000, 0.3301, 0.5000)
Pt (0.3301, 0.0000, 0.5000)
Pt (0.3333, 0.6667, 0.0000)
Pt (0.6667, 0.3333, 0.0000)
Pt (0.6699, 0.6699, 0.5000)

=====

Here is an optimized crystal structure of NiPt from Alexandria via LeMat-Bulk. Energies are from PBEsol.

Calculated values
Calculated formation energy: -32 meV per atom
Symmetry: P2/m
Density of states at the Fermi level: 20.66 states/eV/cell

Lattice parameters (Å, degrees): 4.5791 5.3105 6.3860 90.00 90.48 90.00
Positions (direct):
Ni (0.0000, 0.0000, 0.0000)
Ni (0.0000, 0.5000, 0.0000)
Ni (0.3322, 0.0000, 0.6744)
Ni (0.5000, 0.2359, 0.0000)
Ni (0.5000, 0.7641, 0.0000)
Ni (0.6678, 0.0000, 0.3256)
Pt (0.1702, 0.2443, 0.3219)
Pt (0.1702, 0.7557, 0.3219)
Pt (0.3322, 0.5000, 0.6843)
Pt (0.6678, 0.5000, 0.3157)
Pt (0.8298, 0.2443, 0.6781)
Pt (0.8298, 0.7557, 0.6781)

=====

Here is an optimized crystal structure of Ni5Pt7 from Alexandria via LeMat-Bulk. Energies are from PBEsol.

Calculated values
Calculated formation energy: -27 meV per atom
Symmetry: Pm
Density of states at the Fermi level: 20.04 states/eV/cell

Lattice parameters (Å, degrees): 6.4737 2.6967 9.1257 90.00 91.29 90.00
Positions (direct):
Ni (0.0000, 0.0000, 0.0000)
Ni (0.0048, 0.5000, 0.2394)
Ni (0.3569, 0.0000, 0.8314)
Ni (0.6739, 0.5000, 0.9075)
Ni (0.6863, 0.0000, 0.6758)
Pt (0.0115, 0.5000, 0.7654)
Pt (0.0146, 0.0000, 0.5008)
Pt (0.3275, 0.5000, 0.0625)
Pt (0.3342, 0.0000, 0.3232)
Pt (0.3607, 0.5000, 0.5961)
Pt (0.6809, 0.5000, 0.4165)
Pt (0.6826, 0.0000, 0.1501)